1.
First-principles (PBE-GGA) data for an optimized crystal structure of Hg2Se, as listed in Alexandria.

CIF file:
```
data_Hg2Se
_cell_length_a 4.135
_cell_length_b 4.135
_cell_length_c 5.656
_cell_angle_alpha 90.00
_cell_angle_beta 90.00
_cell_angle_gamma 90.00
_space_group_name_H-M_alt 'P 1'
_space_group_IT_number 1
loop_
_space_group_symop_operation_xyz
'x,y,z'
loop_
_atom_site_label
_atom_site_type_symbol
_atom_site_fract_x
_atom_site_fract_y
_atom_site_fract_z
Hg1 Hg 0.000 0.000 0.000
Hg2 Hg 0.500 0.500 0.500
Se1 Se 0.000 0.000 0.500
```

SG ... No. 123
Raw formation energy ... 0.098 eV per atom
Uncorrected energy ... -1.2647 eV/atom
Relative energy among the computed polymorphs ... 190 meV/atom


2.
First-principles (PBE-GGA) data for an optimized crystal structure of TbPmYCd, as listed in Alexandria.

CIF file:
```
data_TbPmYCd
_cell_length_a 5.492
_cell_length_b 5.492
_cell_length_c 5.492
_cell_angle_alpha 60.00
_cell_angle_beta 60.00
_cell_angle_gamma 60.00
_space_group_name_H-M_alt 'P 1'
_space_group_IT_number 1
loop_
_space_group_symop_operation_xyz
'x,y,z'
loop_
_atom_site_label
_atom_site_type_symbol
_atom_site_fract_x
_atom_site_fract_y
_atom_site_fract_z
Tb1 Tb 0.000 0.000 0.000
Pm1 Pm 0.250 0.250 0.250
Y1 Y 0.500 0.500 0.500
Cd1 Cd 0.750 0.750 0.750
```

SG ... No. 216
Uncorrected energy ... -4.1900 eV/atom
Relative energy among the computed polymorphs ... 157 meV/atom


3.
First-principles (PBE-GGA) data for an optimized crystal structure of Th3SnAu, as listed in Alexandria.

CIF file:
```
data_Th3SnAu
_cell_length_a 6.037
_cell_length_b 6.569
_cell_length_c 7.604
_cell_angle_alpha 90.00
_cell_angle_beta 102.93
_cell_angle_gamma 90.00
_space_group_name_H-M_alt 'P 1'
_space_group_IT_number 1
loop_
_space_group_symop_operation_xyz
'x,y,z'
loop_
_atom_site_label
_atom_site_type_symbol
_atom_site_fract_x
_atom_site_fract_y
_atom_site_fract_z
Th1 Th 0.158 0.250 0.141
Th2 Th 0.302 0.007 0.655
Th3 Th 0.302 0.493 0.655
Th4 Th 0.698 0.507 0.345
Th5 Th 0.698 0.993 0.345
Th6 Th 0.842 0.750 0.859
Sn1 Sn 0.158 0.750 0.275
Sn2 Sn 0.842 0.250 0.725
Au1 Au 0.400 0.750 0.000
Au2 Au 0.600 0.250 0.000
```

SG ... No. 11
Uncorrected energy ... -6.2691 eV/atom


4.
First-principles (PBE-GGA) data for an optimized crystal structure of Rb3Tl8Sn, as listed in Alexandria.

CIF file:
```
data_Rb3Tl8Sn
_cell_length_a 11.494
_cell_length_b 11.494
_cell_length_c 11.494
_cell_angle_alpha 34.38
_cell_angle_beta 34.38
_cell_angle_gamma 34.38
_space_group_name_H-M_alt 'P 1'
_space_group_IT_number 1
loop_
_space_group_symop_operation_xyz
'x,y,z'
loop_
_atom_site_label
_atom_site_type_symbol
_atom_site_fract_x
_atom_site_fract_y
_atom_site_fract_z
Rb1 Rb 0.000 0.000 0.000
Rb2 Rb 0.125 0.125 0.125
Rb3 Rb 0.618 0.618 0.618
Tl1 Tl 0.060 0.060 0.558
Tl2 Tl 0.060 0.558 0.060
Tl3 Tl 0.067 0.563 0.563
Tl4 Tl 0.314 0.314 0.314
Tl5 Tl 0.558 0.060 0.060
Tl6 Tl 0.563 0.067 0.563
Tl7 Tl 0.563 0.563 0.067
Tl8 Tl 0.812 0.812 0.812
Sn1 Sn 0.486 0.486 0.486
```

SG ... No. 160
Uncorrected energy ... -2.1754 eV/atom